No. 1
Density functional theory data (GGA-PBE) for a relaxed structure of TaGaNiRh2.

Calculated values
Electronic total energy   -0.226 Ha/atom
Volume   103.0 Å³/f.u.
Mass density   8.30 g/cm³
Formation enthalpy at 0 K   4.64 eV per formula unit

Cell and atoms, written as POSCAR:
```
TaGaNiRh2
1.0
4.735 0.000 0.000
0.000 4.735 0.000
0.000 0.000 4.594
Ta Ga Ni Rh
1 1 1 2
direct
0.000 0.000 0.000
0.500 0.500 0.500
0.000 0.000 0.500
0.000 0.500 0.000
0.500 0.000 0.000
```



No. 2
Density functional theory data (GGA-PBE) for a relaxed structure of Tb2GaNi5Rh2.

Calculated values
Electronic total energy   -0.217 Ha/atom
Volume   155.5 Å³/f.u.
Mass density   9.47 g/cm³
Formation enthalpy at 0 K   -3.13 eV per formula unit

Cell and atoms, written as POSCAR:
```
Tb2GaNi5Rh2
1.0
9.102 0.000 0.000
0.000 9.102 0.000
0.000 0.000 3.755
Tb Ga Ni Rh
4 2 10 4
direct
0.169 0.331 0.000
0.331 0.831 0.000
0.669 0.169 0.000
0.831 0.669 0.000
0.000 0.000 0.000
0.500 0.500 0.000
0.000 0.500 0.500
0.058 0.811 0.500
0.189 0.058 0.500
0.311 0.558 0.500
0.442 0.311 0.500
0.500 0.000 0.500
0.558 0.689 0.500
0.689 0.442 0.500
0.811 0.942 0.500
0.942 0.189 0.500
0.131 0.631 0.000
0.369 0.131 0.000
0.631 0.869 0.000
0.869 0.369 0.000
```



No. 3
Density functional theory data (GGA-PBE) for a relaxed structure of Tb2Ga4Ni3Rh.

Calculated values
Electronic total energy   -0.193 Ha/atom
Volume   168.2 Å³/f.u.
Mass density   8.64 g/cm³
Formation enthalpy at 0 K   -6.43 eV per formula unit

Cell and atoms, written as POSCAR:
```
Tb2Ga4Ni3Rh
1.0
4.091 0.000 0.000
0.000 4.091 0.000
0.000 0.000 10.053
Tb Ga Ni Rh
2 4 3 1
direct
0.000 0.500 0.247
0.500 0.000 0.753
0.000 0.000 0.000
0.000 0.500 0.635
0.500 0.000 0.365
0.500 0.500 0.000
0.000 0.500 0.870
0.500 0.000 0.130
0.500 0.500 0.500
0.000 0.000 0.500
```



No. 4
Density functional theory data (GGA-PBE) for a relaxed structure of Tb2Ga5Ni2Rh.

Calculated values
Electronic total energy   -0.179 Ha/atom
Volume   168.7 Å³/f.u.
Mass density   8.73 g/cm³
Formation enthalpy at 0 K   -5.36 eV per formula unit

Cell and atoms, written as POSCAR:
```
Tb2Ga5Ni2Rh
1.0
9.140 0.000 0.000
0.000 9.140 0.000
0.000 0.000 4.038
Tb Ga Ni Rh
4 10 4 2
direct
0.184 0.316 0.000
0.316 0.816 0.000
0.684 0.184 0.000
0.816 0.684 0.000
0.000 0.500 0.500
0.057 0.797 0.500
0.203 0.057 0.500
0.297 0.557 0.500
0.443 0.297 0.500
0.500 0.000 0.500
0.557 0.703 0.500
0.703 0.443 0.500
0.797 0.943 0.500
0.943 0.203 0.500
0.110 0.610 0.000
0.390 0.110 0.000
0.610 0.890 0.000
0.890 0.390 0.000
0.000 0.000 0.000
0.500 0.500 0.000
```



No. 5
Density functional theory data (GGA-PBE) for a relaxed structure of TbGa2Ni2Rh.

Calculated values
Electronic total energy   -0.187 Ha/atom
Volume   112.2 Å³/f.u.
Mass density   7.68 g/cm³
Formation enthalpy at 0 K   -0.89 eV per formula unit

Cell and atoms, written as POSCAR:
```
TbGa2Ni2Rh
1.0
4.640 0.000 0.000
0.000 4.640 0.000
0.000 0.000 5.212
Tb Ga Ni Rh
1 2 2 1
direct
0.000 0.000 0.000
0.000 0.500 0.500
0.500 0.000 0.500
0.500 0.500 0.247
0.500 0.500 0.753
0.000 0.000 0.500
```



No. 6
Density functional theory data (GGA-PBE) for a relaxed structure of TbGa5Ni2Rh.

Calculated values
Electronic total energy   -0.170 Ha/atom
Volume   150.2 Å³/f.u.
Mass density   8.05 g/cm³
Formation enthalpy at 0 K   -2.95 eV per formula unit

Cell and atoms, written as POSCAR:
```
TbGa5Ni2Rh
1.0
4.627 0.000 0.000
0.000 4.627 0.000
0.000 0.000 7.016
Tb Ga Ni Rh
1 5 2 1
direct
0.000 0.000 0.000
0.000 0.500 0.306
0.000 0.500 0.694
0.500 0.000 0.306
0.500 0.000 0.694
0.500 0.500 0.000
0.500 0.500 0.326
0.500 0.500 0.674
0.000 0.000 0.500
```



No. 7
Density functional theory data (GGA-PBE) for a relaxed structure of TbGa2NiRh.

Calculated values
Electronic total energy   -0.200 Ha/atom
Volume   86.7 Å³/f.u.
Mass density   8.81 g/cm³
Formation enthalpy at 0 K   -3.34 eV per formula unit

Cell and atoms, written as POSCAR:
```
TbGa2NiRh
1.0
4.075 0.000 0.000
0.000 4.075 0.000
0.000 0.000 10.438
Tb Ga Ni Rh
2 4 2 2
direct
0.000 0.000 0.000
0.500 0.500 0.500
0.000 0.000 0.378
0.000 0.000 0.622
0.500 0.500 0.122
0.500 0.500 0.878
0.000 0.500 0.750
0.500 0.000 0.250
0.000 0.500 0.250
0.500 0.000 0.750
```



No. 8
Density functional theory data (GGA-PBE) for a relaxed structure of GaTc2NiRh.

Calculated values
Electronic total energy   -0.213 Ha/atom
Volume   90.4 Å³/f.u.
Mass density   7.85 g/cm³
Formation enthalpy at 0 K   7.85 eV per formula unit

Cell and atoms, written as POSCAR:
```
GaTc2NiRh
1.0
4.510 0.000 0.000
0.000 4.510 0.000
0.000 0.000 4.443
Ga Tc Ni Rh
1 2 1 1
direct
0.000 0.000 0.000
0.000 0.500 0.000
0.500 0.000 0.000
0.500 0.500 0.500
0.000 0.000 0.500
```



No. 9
Density functional theory data (GGA-PBE) for a relaxed structure of ThGaNiRh.

Calculated values
Electronic total energy   -0.243 Ha/atom
Volume   74.3 Å³/f.u.
Mass density   10.36 g/cm³
Formation enthalpy at 0 K   -2.84 eV per formula unit

Cell and atoms, written as POSCAR:
```
ThGaNiRh
1.0
4.285 0.000 0.000
-2.143 3.711 0.000
0.000 0.000 14.005
Th Ga Ni Rh
3 3 3 3
direct
0.000 0.000 0.000
0.333 0.667 0.667
0.667 0.333 0.333
0.000 0.000 0.498
0.333 0.667 0.165
0.667 0.333 0.832
0.000 0.000 0.793
0.333 0.667 0.460
0.667 0.333 0.126
0.000 0.000 0.215
0.333 0.667 0.881
0.667 0.333 0.548
```



No. 10
Density functional theory data (GGA-PBE) for a relaxed structure of ThGa3NiRh.

Calculated values
Electronic total energy   -0.199 Ha/atom
Volume   107.4 Å³/f.u.
Mass density   9.32 g/cm³
Formation enthalpy at 0 K   -2.89 eV per formula unit

Cell and atoms, written as POSCAR:
```
ThGa3NiRh
1.0
3.053 -6.199 0.000
3.053 6.199 0.000
0.000 0.000 5.677
Th Ga Ni Rh
2 6 2 2
direct
0.226 0.774 0.750
0.774 0.226 0.250
0.208 0.208 0.000
0.208 0.208 0.500
0.362 0.638 0.250
0.638 0.362 0.750
0.792 0.792 0.000
0.792 0.792 0.500
0.434 0.566 0.750
0.566 0.434 0.250
0.160 0.840 0.250
0.840 0.160 0.750
```



No. 11
Density functional theory data (GGA-PBE) for a relaxed structure of ThGa2Ni2Rh.

Calculated values
Electronic total energy   -0.206 Ha/atom
Volume   114.6 Å³/f.u.
Mass density   8.58 g/cm³
Formation enthalpy at 0 K   -1.18 eV per formula unit

Cell and atoms, written as POSCAR:
```
ThGa2Ni2Rh
1.0
4.664 0.000 0.000
0.000 4.664 0.000
0.000 0.000 5.267
Th Ga Ni Rh
1 2 2 1
direct
0.000 0.000 0.000
0.000 0.500 0.500
0.500 0.000 0.500
0.500 0.500 0.238
0.500 0.500 0.762
0.000 0.000 0.500
```



No. 12
Density functional theory data (GGA-PBE) for a relaxed structure of ThGa5Ni2Rh.

Calculated values
Electronic total energy   -0.181 Ha/atom
Volume   153.5 Å³/f.u.
Mass density   8.67 g/cm³
Formation enthalpy at 0 K   -2.83 eV per formula unit

Cell and atoms, written as POSCAR:
```
ThGa5Ni2Rh
1.0
4.667 0.000 0.000
0.000 4.667 0.000
0.000 0.000 7.048
Th Ga Ni Rh
1 5 2 1
direct
0.000 0.000 0.000
0.000 0.500 0.309
0.000 0.500 0.691
0.500 0.000 0.309
0.500 0.000 0.691
0.500 0.500 0.000
0.500 0.500 0.326
0.500 0.500 0.674
0.000 0.000 0.500
```



No. 13
Density functional theory data (GGA-PBE) for a relaxed structure of Th2Ga4Ni3Rh.

Calculated values
Electronic total energy   -0.214 Ha/atom
Volume   175.0 Å³/f.u.
Mass density   9.70 g/cm³
Formation enthalpy at 0 K   -6.47 eV per formula unit

Cell and atoms, written as POSCAR:
```
Th2Ga4Ni3Rh
1.0
4.154 0.000 0.000
0.000 4.154 0.000
0.000 0.000 10.141
Th Ga Ni Rh
2 4 3 1
direct
0.000 0.500 0.245
0.500 0.000 0.755
0.000 0.000 0.000
0.000 0.500 0.633
0.500 0.000 0.367
0.500 0.500 0.000
0.000 0.500 0.867
0.500 0.000 0.133
0.500 0.500 0.500
0.000 0.000 0.500
```



No. 14
Density functional theory data (GGA-PBE) for a relaxed structure of Th2Ga4NiRh3.

Calculated values
Electronic total energy   -0.228 Ha/atom
Volume   184.4 Å³/f.u.
Mass density   10.00 g/cm³
Formation enthalpy at 0 K   -7.30 eV per formula unit

Cell and atoms, written as POSCAR:
```
Th2Ga4NiRh3
1.0
4.233 0.000 0.000
0.000 4.233 0.000
0.000 0.000 10.295
Th Ga Ni Rh
2 4 1 3
direct
0.000 0.500 0.246
0.500 0.000 0.754
0.000 0.000 0.500
0.000 0.500 0.878
0.500 0.000 0.122
0.500 0.500 0.500
0.500 0.500 0.000
0.000 0.000 0.000
0.000 0.500 0.638
0.500 0.000 0.362
```



No. 15
Density functional theory data (GGA-PBE) for a relaxed structure of TiGaNiRh.

Calculated values
Electronic total energy   -0.246 Ha/atom
Volume   54.7 Å³/f.u.
Mass density   8.48 g/cm³
Formation enthalpy at 0 K   -2.72 eV per formula unit

Cell and atoms, written as POSCAR:
```
TiGaNiRh
1.0
3.916 0.000 0.000
0.000 3.916 0.000
0.000 0.000 7.132
Ti Ga Ni Rh
2 2 2 2
direct
0.000 0.000 0.000
0.500 0.500 0.500
0.000 0.000 0.500
0.500 0.500 0.000
0.000 0.500 0.750
0.500 0.000 0.250
0.000 0.500 0.250
0.500 0.000 0.750
```



No. 16
Density functional theory data (GGA-PBE) for a relaxed structure of TmGa4NiRh2.

Calculated values
Electronic total energy   -0.192 Ha/atom
Volume   128.8 Å³/f.u.
Mass density   9.18 g/cm³
Formation enthalpy at 0 K   -4.74 eV per formula unit

Cell and atoms, written as POSCAR:
```
TmGa4NiRh2
1.0
2.104 1.215 8.402
-2.104 1.215 8.402
0.000 -2.429 8.402
Tm Ga Ni Rh
1 4 1 2
direct
0.000 0.000 0.000
0.133 0.133 0.133
0.399 0.399 0.399
0.601 0.601 0.601
0.867 0.867 0.867
0.500 0.500 0.500
0.235 0.235 0.235
0.765 0.765 0.765
```



No. 17
Density functional theory data (GGA-PBE) for a relaxed structure of TmGaNiRh.

Calculated values
Electronic total energy   -0.213 Ha/atom
Volume   63.9 Å³/f.u.
Mass density   10.40 g/cm³
Formation enthalpy at 0 K   -2.54 eV per formula unit

Cell and atoms, written as POSCAR:
```
TmGaNiRh
1.0
6.347 0.000 0.000
0.000 6.347 0.000
0.000 0.000 6.347
Tm Ga Ni Rh
4 4 4 4
direct
0.000 0.000 0.000
0.000 0.500 0.500
0.500 0.000 0.500
0.500 0.500 0.000
0.000 0.000 0.500
0.000 0.500 0.000
0.500 0.000 0.000
0.500 0.500 0.500
0.250 0.250 0.250
0.250 0.750 0.750
0.750 0.250 0.750
0.750 0.750 0.250
0.250 0.250 0.750
0.250 0.750 0.250
0.750 0.250 0.250
0.750 0.750 0.750
```



No. 18
Density functional theory data (GGA-PBE) for a relaxed structure of Tm2Ga4Ni3Rh.

Calculated values
Electronic total energy   -0.191 Ha/atom
Volume   164.6 Å³/f.u.
Mass density   9.03 g/cm³
Formation enthalpy at 0 K   -6.27 eV per formula unit

Cell and atoms, written as POSCAR:
```
Tm2Ga4Ni3Rh
1.0
4.012 0.000 0.000
0.000 4.012 0.000
0.000 0.000 10.231
Tm Ga Ni Rh
2 4 3 1
direct
0.000 0.500 0.246
0.500 0.000 0.754
0.000 0.000 0.000
0.000 0.500 0.637
0.500 0.000 0.363
0.500 0.500 0.000
0.000 0.500 0.866
0.500 0.000 0.134
0.500 0.500 0.500
0.000 0.000 0.500
```



No. 19
Density functional theory data (GGA-PBE) for a relaxed structure of TmGa4Ni2Rh.

Calculated values
Electronic total energy   -0.182 Ha/atom
Volume   126.6 Å³/f.u.
Mass density   8.76 g/cm³
Formation enthalpy at 0 K   -4.06 eV per formula unit

Cell and atoms, written as POSCAR:
```
TmGa4Ni2Rh
1.0
2.056 1.187 8.649
-2.056 1.187 8.649
0.000 -2.374 8.649
Tm Ga Ni Rh
1 4 2 1
direct
0.000 0.000 0.000
0.128 0.128 0.128
0.400 0.400 0.400
0.600 0.600 0.600
0.872 0.872 0.872
0.233 0.233 0.233
0.767 0.767 0.767
0.500 0.500 0.500
```



No. 20
Density functional theory data (GGA-PBE) for a relaxed structure of Tm2Ga4NiRh3.

Calculated values
Electronic total energy   -0.206 Ha/atom
Volume   175.0 Å³/f.u.
Mass density   9.34 g/cm³
Formation enthalpy at 0 K   -7.13 eV per formula unit

Cell and atoms, written as POSCAR:
```
Tm2Ga4NiRh3
1.0
4.104 0.000 0.000
0.000 4.104 0.000
0.000 0.000 10.391
Tm Ga Ni Rh
2 4 1 3
direct
0.000 0.500 0.242
0.500 0.000 0.758
0.000 0.000 0.500
0.000 0.500 0.874
0.500 0.000 0.126
0.500 0.500 0.500
0.500 0.500 0.000
0.000 0.000 0.000
0.000 0.500 0.640
0.500 0.000 0.360
```



No. 21
Density functional theory data (GGA-PBE) for a relaxed structure of Tm2GaNi2Rh5.

Calculated values
Electronic total energy   -0.242 Ha/atom
Volume   158.0 Å³/f.u.
Mass density   10.93 g/cm³
Formation enthalpy at 0 K   -5.62 eV per formula unit

Cell and atoms, written as POSCAR:
```
Tm2GaNi2Rh5
1.0
9.148 0.000 0.000
0.000 9.148 0.000
0.000 0.000 3.775
Tm Ga Ni Rh
4 2 4 10
direct
0.173 0.327 0.000
0.327 0.827 0.000
0.673 0.173 0.000
0.827 0.673 0.000
0.000 0.000 0.000
0.500 0.500 0.000
0.126 0.626 0.000
0.374 0.126 0.000
0.626 0.874 0.000
0.874 0.374 0.000
0.000 0.500 0.500
0.068 0.797 0.500
0.203 0.068 0.500
0.297 0.568 0.500
0.432 0.297 0.500
0.500 0.000 0.500
0.568 0.703 0.500
0.703 0.432 0.500
0.797 0.932 0.500
0.932 0.203 0.500
```



No. 22
Density functional theory data (GGA-PBE) for a relaxed structure of UGaNiRh.

Calculated values
Electronic total energy   -0.264 Ha/atom
Volume   67.0 Å³/f.u.
Mass density   11.63 g/cm³
Formation enthalpy at 0 K   -1.34 eV per formula unit

Cell and atoms, written as POSCAR:
```
UGaNiRh
1.0
6.448 0.000 0.000
0.000 6.448 0.000
0.000 0.000 6.448
U Ga Ni Rh
4 4 4 4
direct
0.000 0.000 0.000
0.000 0.500 0.500
0.500 0.000 0.500
0.500 0.500 0.000
0.000 0.000 0.500
0.000 0.500 0.000
0.500 0.000 0.000
0.500 0.500 0.500
0.250 0.250 0.750
0.250 0.750 0.250
0.750 0.250 0.250
0.750 0.750 0.750
0.250 0.250 0.250
0.250 0.750 0.750
0.750 0.250 0.750
0.750 0.750 0.250
```



No. 23
Density functional theory data (GGA-PBE) for a relaxed structure of V2Ga2Ni7Rh.

Calculated values
Electronic total energy   -0.217 Ha/atom
Volume   157.1 Å³/f.u.
Mass density   7.98 g/cm³
Formation enthalpy at 0 K   1.35 eV per formula unit

Cell and atoms, written as POSCAR:
```
V2Ga2Ni7Rh
1.0
2.396 -2.396 0.000
2.396 2.396 0.000
-2.342 0.000 13.683
V Ga Ni Rh
2 2 7 1
direct
0.133 0.133 0.270
0.867 0.867 0.730
0.316 0.316 0.629
0.684 0.684 0.371
0.000 0.000 0.000
0.070 0.570 0.144
0.224 0.224 0.449
0.430 0.930 0.856
0.570 0.070 0.144
0.776 0.776 0.551
0.930 0.430 0.856
0.500 0.500 0.000
```